Entry 1:
The following is a PBE calculation of a relaxed ScAgS2 crystal, from Alexandria.

Magnetic moment: 0.00 μB per formula unit
D(E_F): 0.00 states/eV per cell
Formation energy from raw total energies: -411 kJ/mol of formula units
Density: 4.22 g cm⁻³
Total energy: -5.423 eV per atom

The structure in CIF format:
```
data_ScAgS2
_cell_length_a 4.3661
_cell_length_b 4.3661
_cell_length_c 5.1729
_cell_angle_alpha 90.00
_cell_angle_beta 90.00
_cell_angle_gamma 120.00
_space_group_name_H-M_alt 'P -6 m 2'
_space_group_IT_number 187
_space_group_name_Hall 'P -6 2'
loop_
_atom_site_label
_atom_site_type_symbol
_atom_site_fract_x
_atom_site_fract_y
_atom_site_fract_z
_atom_site_occupancy
Sc1 Sc 0.0000 0.0000 0.0000 1
Ag1 Ag 0.6667 0.3333 0.5000 1
S1 S 0.0000 0.0000 0.5000 1
S2 S 0.3333 0.6667 0.0000 1
```


Entry 2:
The following is a PBE calculation of a relaxed ScAgS2 crystal, from Alexandria.

Magnetic moment: 0.00 μB per formula unit
D(E_F): 8.78 states/eV per cell
Formation energy from raw total energies: -62 kJ/mol of formula units
Density: 3.68 g cm⁻³
Total energy: -4.519 eV per atom

The structure in CIF format:
```
data_ScAgS2
_cell_length_a 3.8808
_cell_length_b 3.8808
_cell_length_c 22.5324
_cell_angle_alpha 90.00
_cell_angle_beta 90.00
_cell_angle_gamma 120.00
_space_group_name_H-M_alt 'R -3 m'
_space_group_IT_number 166
_space_group_name_Hall '-R 3 2"'
loop_
_atom_site_label
_atom_site_type_symbol
_atom_site_fract_x
_atom_site_fract_y
_atom_site_fract_z
_atom_site_occupancy
Sc1 Sc 0.0000 0.0000 0.0000 1
Ag1 Ag 0.0000 0.0000 0.5000 1
S1 S 0.0000 0.0000 0.1049 1
```


Entry 3:
The following is a PBE calculation of a relaxed ScAgS2 crystal, from Alexandria.

Magnetic moment: 0.00 μB per formula unit
D(E_F): 1.34 states/eV per cell
Formation energy from raw total energies: -404 kJ/mol of formula units
Density: 4.77 g cm⁻³
Total energy: -5.406 eV per atom

The structure in CIF format:
```
data_ScAgS2
_cell_length_a 3.7775
_cell_length_b 3.7775
_cell_length_c 5.2877
_cell_angle_alpha 90.00
_cell_angle_beta 90.00
_cell_angle_gamma 90.00
_space_group_name_H-M_alt 'P 4/m m m'
_space_group_IT_number 123
_space_group_name_Hall '-P 4 2'
loop_
_atom_site_label
_atom_site_type_symbol
_atom_site_fract_x
_atom_site_fract_y
_atom_site_fract_z
_atom_site_occupancy
Sc1 Sc 0.0000 0.0000 0.0000 1
Ag1 Ag 0.5000 0.5000 0.5000 1
S1 S 0.0000 0.0000 0.5000 1
S2 S 0.5000 0.5000 0.0000 1
```


Entry 4:
The following is a PBE calculation of a relaxed Sc2AgS2 crystal, from Alexandria.

Magnetic moment: 0.00 μB per formula unit
D(E_F): 5.12 states/eV per cell
Formation energy from raw total energies: -575 kJ/mol of formula units
Density: 4.98 g cm⁻³
Total energy: -5.945 eV per atom

The structure in CIF format:
```
data_Sc2AgS2
_cell_length_a 7.2673
_cell_length_b 7.2673
_cell_length_c 3.3052
_cell_angle_alpha 90.00
_cell_angle_beta 90.00
_cell_angle_gamma 90.00
_space_group_name_H-M_alt 'P 4/m b m'
_space_group_IT_number 127
_space_group_name_Hall '-P 4 2ab'
loop_
_atom_site_label
_atom_site_type_symbol
_atom_site_fract_x
_atom_site_fract_y
_atom_site_fract_z
_atom_site_occupancy
Sc1 Sc 0.1530 0.3470 0.0000 1
Ag1 Ag 0.0000 0.0000 0.5000 1
S1 S 0.1440 0.6440 0.5000 1
```


Entry 5:
The following is a PBE calculation of a relaxed ScAgS2 crystal, from Alexandria.

Magnetic moment: 0.00 μB per formula unit
D(E_F): 0.00 states/eV per cell
Formation energy from raw total energies: -451 kJ/mol of formula units
Density: 4.53 g cm⁻³
Total energy: -5.528 eV per atom

The structure in CIF format:
```
data_ScAgS2
_cell_length_a 6.5511
_cell_length_b 3.7815
_cell_length_c 7.0813
_cell_angle_alpha 90.00
_cell_angle_beta 114.83
_cell_angle_gamma 90.00
_space_group_name_H-M_alt 'C 1 2/m 1'
_space_group_IT_number 12
_space_group_name_Hall '-C 2y'
loop_
_atom_site_label
_atom_site_type_symbol
_atom_site_fract_x
_atom_site_fract_y
_atom_site_fract_z
_atom_site_occupancy
Sc1 Sc 0.0000 0.0000 0.0000 1
Ag1 Ag 0.0000 0.5000 0.5000 1
S1 S 0.2316 0.0000 0.7792 1
```


Entry 6:
The following is a PBE calculation of a relaxed ScAgS2 crystal, from Alexandria.

Magnetic moment: 0.00 μB per formula unit
D(E_F): 0.00 states/eV per cell
Formation energy from raw total energies: -320 kJ/mol of formula units
Density: 5.14 g cm⁻³
Total energy: -5.189 eV per atom

The structure in CIF format:
```
data_ScAgS2
_cell_length_a 6.5444
_cell_length_b 6.5444
_cell_length_c 6.5444
_cell_angle_alpha 90.00
_cell_angle_beta 90.00
_cell_angle_gamma 90.00
_space_group_name_H-M_alt 'F m -3 m'
_space_group_IT_number 225
_space_group_name_Hall '-F 4 2 3'
loop_
_atom_site_label
_atom_site_type_symbol
_atom_site_fract_x
_atom_site_fract_y
_atom_site_fract_z
_atom_site_occupancy
Sc1 Sc 0.0000 0.0000 0.0000 1
Ag1 Ag 0.0000 0.0000 0.5000 1
S1 S 0.2500 0.2500 0.2500 1
```


Entry 7:
The following is a PBE calculation of a relaxed ScAgS4 crystal, from Alexandria.

Magnetic moment: 0.00 μB per formula unit
Formation energy from raw total energies: -404 kJ/mol of formula units
Density: 2.86 g cm⁻³
Total energy: -4.980 eV per atom

The structure in CIF format:
```
data_ScAgS4
_cell_length_a 7.4597
_cell_length_b 13.2424
_cell_length_c 6.9334
_cell_angle_alpha 90.00
_cell_angle_beta 107.53
_cell_angle_gamma 90.00
_space_group_name_H-M_alt 'C 1 2/c 1'
_space_group_IT_number 15
_space_group_name_Hall '-C 2yc'
loop_
_atom_site_label
_atom_site_type_symbol
_atom_site_fract_x
_atom_site_fract_y
_atom_site_fract_z
_atom_site_occupancy
Sc1 Sc 0.0000 0.0013 0.2500 1
Ag1 Ag 0.0000 0.2986 0.2500 1
S1 S 0.0395 0.1501 0.0119 1
S2 S 0.2309 0.0861 0.5781 1
```


Entry 8:
The following is a PBE calculation of a relaxed ScAgS2 crystal, from Alexandria.

Magnetic moment: 0.00 μB per formula unit
D(E_F): 0.00 states/eV per cell
Formation energy from raw total energies: -467 kJ/mol of formula units
Density: 4.26 g cm⁻³
Total energy: -5.570 eV per atom

The structure in CIF format:
```
data_ScAgS2
_cell_length_a 3.7997
_cell_length_b 3.7997
_cell_length_c 6.7586
_cell_angle_alpha 90.00
_cell_angle_beta 90.00
_cell_angle_gamma 120.00
_space_group_name_H-M_alt 'P 3 m 1'
_space_group_IT_number 156
_space_group_name_Hall 'P 3 -2"'
loop_
_atom_site_label
_atom_site_type_symbol
_atom_site_fract_x
_atom_site_fract_y
_atom_site_fract_z
_atom_site_occupancy
Sc1 Sc 0.0000 0.0000 0.0000 1
Ag1 Ag 0.3333 0.6667 0.4419 1
S1 S 0.3333 0.6667 0.8035 1
S2 S 0.6667 0.3333 0.2180 1
```